Record 1
VASP calculation (GGA-PBE) on an optimized crystal structure of TaAuO2.

Computed properties:
Energy (eV/cell): -26.139
Energy relative to the elements, uncorrected (eV per atom): -0.273
Relative energy among the computed polymorphs (eV/atom): 1.289

Structure (CIF):
```
data_TaAuO2
_chemical_formula_sum 'Ta1 Au1 O2'
_cell_length_a 4.067
_cell_length_b 4.067
_cell_length_c 4.067
_cell_angle_alpha 60.00
_cell_angle_beta 60.00
_cell_angle_gamma 60.00
_space_group_name_H-M_alt 'P 1'
_space_group_IT_number 1
loop_
_space_group_symop_operation_xyz
'x,y,z'
loop_
_atom_site_label
_atom_site_fract_x
_atom_site_fract_y
_atom_site_fract_z
O1 0.750 0.750 0.750
Ta1 0.000 0.000 0.000
O2 0.250 0.250 0.250
Au1 0.500 0.500 0.500
```


Record 2
VASP calculation (GGA-PBE) on an optimized crystal structure of LiMn2.

Computed properties:
Energy (eV/cell): -37.383
Calculated formation energy (kJ/mol of formula units): 150.7

Structure (CIF):
```
data_LiMn2
_chemical_formula_sum 'Li2 Mn4'
_cell_length_a 13.343
_cell_length_b 13.343
_cell_length_c 13.343
_cell_angle_alpha 170.12
_cell_angle_beta 170.12
_cell_angle_gamma 13.99
_space_group_name_H-M_alt 'P 1'
_space_group_IT_number 1
loop_
_space_group_symop_operation_xyz
'x,y,z'
loop_
_atom_site_label
_atom_site_fract_x
_atom_site_fract_y
_atom_site_fract_z
Li1 0.750 0.250 0.500
Mn1 0.584 0.584 0.000
Mn2 0.334 0.834 0.500
Li2 0.000 0.000 0.000
Mn3 0.416 0.416 0.000
Mn4 0.166 0.666 0.500
```


What did the second record say?
VASP calculation (GGA-PBE) on an optimized crystal structure of LiMn2.

Computed properties:
Energy (eV/cell): -37.383
Calculated formation energy (kJ/mol of formula units): 150.7

Structure (CIF):
```
data_LiMn2
_chemical_formula_sum 'Li2 Mn4'
_cell_length_a 13.343
_cell_length_b 13.343
_cell_length_c 13.343
_cell_angle_alpha 170.12
_cell_angle_beta 170.12
_cell_angle_gamma 13.99
_space_group_name_H-M_alt 'P 1'
_space_group_IT_number 1
loop_
_space_group_symop_operation_xyz
'x,y,z'
loop_
_atom_site_label
_atom_site_fract_x
_atom_site_fract_y
_atom_site_fract_z
Li1 0.750 0.250 0.500
Mn1 0.584 0.584 0.000
Mn2 0.334 0.834 0.500
Li2 0.000 0.000 0.000
Mn3 0.416 0.416 0.000
Mn4 0.166 0.666 0.500
```